LiCa2CoN: relaxed, PBE.

Structure (POSCAR):
```
LiCa2CoN
1.0
5.087 0.000 0.000
0.000 5.087 0.000
0.000 0.000 3.584
Ca N Co Li
2 1 1 1
Direct
0.500 0.000 0.000
0.000 0.500 0.000
0.000 0.000 0.000
0.000 0.000 0.500
0.500 0.500 0.500
```

- Final energy: -23.08 eV per cell
- Energy relative to the elements, uncorrected: -0.35 eV per atom
- D(E_F): 3.6 states/eV/cell


LiCaNdCo: relaxed, PBE.

Structure (POSCAR):
```
LiCaNdCo
1.0
5.010 0.000 0.000
2.505 4.339 0.000
2.505 1.446 4.091
Nd Li Co Ca
1 1 1 1
Direct
0.750 0.750 0.750
0.000 0.000 0.000
0.500 0.500 0.500
0.250 0.250 0.250
```

- Final energy: -15.24 eV per cell
- Energy of formation: 0.137 eV per atom
- D(E_F): 3.4 states/eV/cell